This record from Alexandria via LeMat-Bulk describes a geometry-optimized TcBi2C structure. The functional is PBE.

Computed properties:
- total energy (eV per atom) = -5.405
- ΔE_f (meV/atom) = 1433
- magnetic moment (μB per atom) = 0.23
- DOS(E_F) (states/eV/atom) = 0.69

Cell and atoms, written as CIF:
```
data_TcBi2C
_cell_length_a 6.1657
_cell_length_b 6.1657
_cell_length_c 9.8678
_cell_angle_alpha 90.00
_cell_angle_beta 90.00
_cell_angle_gamma 90.00
_symmetry_space_group_name_H-M 'I -4 2 d'
_symmetry_Int_Tables_number 122
_symmetry_space_group_name_Hall 'I -4 2bw'
loop_
_atom_site_label
_atom_site_fract_x
_atom_site_fract_y
_atom_site_fract_z
_atom_site_occupancy
Tc1 0.0000 0.0000 0.0000 1
Bi1 0.2016 0.2500 0.6250 1
C1 0.0000 0.0000 0.5000 1
```